Record 1
First-principles (GGA-PBE) data for crystalline YAlGa2C at its relaxed geometry, as listed in the Alexandria database. Values from VASP.

Geometry as Quantum ESPRESSO input:
```
&SYSTEM
  ibrav = 0, nat = 5, ntyp = 4
/
ATOMIC_SPECIES
Y 88.91 Y.upf
Al 26.98 Al.upf
Ga 69.72 Ga.upf
C 12.01 C.upf
CELL_PARAMETERS angstrom
5.634 0.000 0.000
0.000 5.634 0.000
0.000 0.000 4.352
ATOMIC_POSITIONS crystal
Y 0.000 0.000 0.000
Al 0.500 0.500 0.500
Ga 0.000 0.500 0.000
Ga 0.500 0.000 0.000
C 0.000 0.000 0.500
```

Calculated values
Energy of formation (eV per atom): 1.257
Spin magnetization (μB per cell): 0.00


Record 2
First-principles (GGA-PBE) data for crystalline Tc2NiRu at its relaxed geometry, as listed in the Alexandria database. Values from VASP.

Geometry as Quantum ESPRESSO input:
```
&SYSTEM
  ibrav = 0, nat = 8, ntyp = 3
/
ATOMIC_SPECIES
Tc 98.00 Tc.upf
Ni 58.69 Ni.upf
Ru 101.07 Ru.upf
CELL_PARAMETERS angstrom
-1.833 1.833 8.774
1.833 -1.833 8.774
1.833 1.833 -8.774
ATOMIC_POSITIONS crystal
Tc 0.095 0.625 0.970
Tc 0.375 0.345 0.470
Tc 0.655 0.125 0.030
Tc 0.875 0.905 0.530
Ni 0.000 0.000 0.000
Ni 0.750 0.250 0.500
Ru 0.250 0.750 0.500
Ru 0.500 0.500 0.000
```

Calculated values
E above lowest polymorph (meV/atom): 579
Energy of formation (eV per atom): 0.530
Spin magnetization (μB per cell): 0.00


Record 3
First-principles (GGA-PBE) data for crystalline La2DyThP4 at its relaxed geometry, as listed in the Alexandria database. Values from VASP.

Geometry as Quantum ESPRESSO input:
```
&SYSTEM
  ibrav = 0, nat = 8, ntyp = 4
/
ATOMIC_SPECIES
La 138.91 La.upf
Dy 162.50 Dy.upf
Th 232.04 Th.upf
P 30.97 P.upf
CELL_PARAMETERS angstrom
7.202 0.000 0.000
0.000 4.173 0.000
-2.407 0.000 6.842
ATOMIC_POSITIONS crystal
La 0.000 0.000 0.000
La 0.500 0.500 0.000
Dy 0.000 0.500 0.500
Th 0.500 0.000 0.500
P 0.244 0.000 0.737
P 0.251 0.500 0.261
P 0.749 0.500 0.739
P 0.756 0.000 0.263
```

Calculated values
Energy of formation (eV per atom): -1.598
Spin magnetization (μB per cell): 0.00


Record 4
First-principles (GGA-PBE) data for crystalline Al3TlBi at its relaxed geometry, as listed in the Alexandria database. Values from VASP.

Geometry as Quantum ESPRESSO input:
```
&SYSTEM
  ibrav = 0, nat = 5, ntyp = 3
/
ATOMIC_SPECIES
Al 26.98 Al.upf
Tl 204.38 Tl.upf
Bi 208.98 Bi.upf
CELL_PARAMETERS angstrom
5.249 0.000 0.000
0.000 5.249 0.000
0.000 0.000 5.249
ATOMIC_POSITIONS crystal
Al 0.000 0.000 0.500
Al 0.000 0.500 0.000
Al 0.500 0.000 0.000
Tl 0.000 0.000 0.000
Bi 0.500 0.500 0.500
```

Calculated values
E above lowest polymorph (meV/atom): 0
Energy of formation (eV per atom): 0.762
Spin magnetization (μB per cell): 0.00


Record 5
First-principles (GGA-PBE) data for crystalline LaDy3Al8 at its relaxed geometry, as listed in the Alexandria database. Values from VASP.

Geometry as Quantum ESPRESSO input:
```
&SYSTEM
  ibrav = 0, nat = 12, ntyp = 3
/
ATOMIC_SPECIES
La 138.91 La.upf
Dy 162.50 Dy.upf
Al 26.98 Al.upf
CELL_PARAMETERS angstrom
5.601 0.000 0.000
-2.800 4.851 0.000
0.000 0.000 9.216
ATOMIC_POSITIONS crystal
La 0.000 0.000 0.000
Dy 0.000 0.000 0.363
Dy 0.667 0.333 0.498
Dy 0.667 0.333 0.863
Al 0.162 0.324 0.678
Al 0.162 0.838 0.678
Al 0.333 0.667 0.435
Al 0.333 0.667 0.930
Al 0.505 0.009 0.188
Al 0.505 0.495 0.188
Al 0.676 0.838 0.678
Al 0.991 0.495 0.188
```

Calculated values
E above lowest polymorph (meV/atom): 9
Energy of formation (eV per atom): -0.493
Spin magnetization (μB per cell): 0.00


Record 6
First-principles (GGA-PBE) data for crystalline SbCl2 at its relaxed geometry, as listed in the Alexandria database. Values from VASP.

Geometry as Quantum ESPRESSO input:
```
&SYSTEM
  ibrav = 0, nat = 3, ntyp = 2
/
ATOMIC_SPECIES
Sb 121.76 Sb.upf
Cl 35.45 Cl.upf
CELL_PARAMETERS angstrom
4.835 0.000 0.000
-2.417 4.187 0.000
0.000 0.000 3.548
ATOMIC_POSITIONS crystal
Sb 0.000 0.000 0.000
Cl 0.333 0.667 0.793
Cl 0.667 0.333 0.207
```

Calculated values
E above lowest polymorph (meV/atom): 264
Spin magnetization (μB per cell): 0.00
Formation energy (no corrections) (eV per atom): -0.4405


- Look up the spin magnetization of the first one.
  0.00 μB per cell


- Look up the spin magnetization of the second one.
  0.00 μB per cell


- Look up the spin magnetization of the first one.
  0.00 μB per cell


- What is the spin magnetization in the third record?
  0.00 μB per cell